Entry 1:
Below is a relaxed structure of Rb7Hg2O2, with properties calculated at the GGA-PBE level.

It has space group Cmmm (No. 65), with a = 8.286 Å, b = 13.037 Å, c = 8.153 Å, α = 90.00°, β = 90.00° and γ = 90.00°. The inequivalent atoms are Rb at (0.000, 0.000, 0.000), Rb at (0.000, 0.500, 0.205), Rb at (0.250, 0.250, 0.213), Hg at (0.170, 0.000, 0.500) and O at (0.000, 0.325, 0.000).

The calculation puts the energy at -46.811 eV for the cell shown. The theoretical density comes out at 3889 kg/m³. For the total magnetic moment, the calculation gives 0.00 μB/cell. The value obtained for the energy relative to the elements, uncorrected is -0.56 eV per atom.

Entry 2:
Below is a relaxed structure of Rb3HgO2, with properties calculated at the GGA-PBE level.

It has space group Ibam (No. 72), with a = 6.689 Å, b = 13.239 Å, c = 7.308 Å, α = 90.00°, β = 90.00° and γ = 90.00°. The inequivalent atoms are Rb at (0.000, 0.000, 0.250), Rb at (0.000, 0.266, 0.250), Hg at (0.000, 0.500, 0.000) and O at (0.237, 0.132, 0.000).

The calculation puts the energy at -70.716 eV for the cell shown. The theoretical density comes out at 5019 kg/m³. For the total magnetic moment, the calculation gives 3.49 μB/cell. The value obtained for the energy relative to the elements, uncorrected is -0.76 eV per atom.

Entry 3:
Below is a relaxed structure of Rb3Hg2O4, with properties calculated at the GGA-PBE level.

It has space group C2/c (No. 15), with a = 13.969 Å, b = 9.845 Å, c = 7.548 Å, α = 90.00°, β = 119.04° and γ = 90.00°. The inequivalent atoms are Rb at (0.000, 0.096, 0.250), Rb at (0.148, 0.410, 0.239), Hg at (0.124, 0.230, 0.774), O at (0.082, 0.331, 0.518) and O at (0.162, 0.121, 0.024).

The calculation puts the energy at -121.023 eV for the cell shown. The theoretical density comes out at 5281 kg/m³. For the total magnetic moment, the calculation gives 4.20 μB/cell. For the energy relative to the lowest polymorph listed for this composition, the calculation gives 0 meV per atom. The value obtained for the energy relative to the elements, uncorrected is -0.77 eV per atom.

Entry 4:
Below is a relaxed structure of Rb2ReHgO6, with properties calculated at the GGA-PBE level.

It has space group Cm (No. 8), with a = 10.302 Å, b = 6.481 Å, c = 6.550 Å, α = 90.00°, β = 129.45° and γ = 90.00°. The inequivalent atoms are Rb at (0.000, 0.000, 0.000), Rb at (0.002, 0.500, 0.503), Re at (0.251, 0.000, 0.733), Hg at (0.251, 0.500, 0.241), O at (0.010, 0.000, 0.494), O at (0.251, 0.222, 0.563), O at (0.252, 0.174, 0.978) and O at (0.492, 0.000, 0.974).

The calculation puts the energy at -113.585 eV for the cell shown. The theoretical density comes out at 6430 kg/m³. For the total magnetic moment, the calculation gives 2.09 μB/cell. The value obtained for the energy relative to the elements, uncorrected is -1.24 eV per atom.

Entry 5:
Below is a relaxed structure of RbRe2HgO8, with properties calculated at the GGA-PBE level.

It has space group R32 (No. 155, hexagonal axes), with a = 5.7747 Å, b = 5.7747 Å, c = 25.7398 Å, α = 90.00°, β = 90.00° and γ = 120.00°. The inequivalent atoms are Rb at (0.0000, 0.0000, 0.0000), Re at (0.0000, 0.0000, 0.2528), Hg at (0.0000, 0.0000, 0.5000), O at (0.0000, 0.0000, 0.3211) and O at (0.0196, 0.2982, 0.7689).

The calculation puts the energy at -250.530 eV for the cell shown. The theoretical density comes out at 5271 kg/m³. For the total magnetic moment, the calculation gives 3.18 μB/cell. The value obtained for the energy relative to the elements, uncorrected is -1.47 eV per atom.

Entry 6:
Below is a relaxed structure of Rb2ReHgO4, with properties calculated at the GGA-PBE level.

It has space group I-4 (No. 82), with a = 7.631 Å, b = 7.631 Å, c = 7.316 Å, α = 90.00°, β = 90.00° and γ = 90.00°. The inequivalent atoms are Rb at (0.000, 0.000, 0.000), Rb at (0.000, 0.500, 0.250), Re at (0.000, 0.500, 0.750), Hg at (0.000, 0.000, 0.500) and O at (0.108, 0.328, 0.877).

The calculation puts the energy at -91.871 eV for the cell shown. The theoretical density comes out at 4847 kg/m³. For the total magnetic moment, the calculation gives 2.01 μB/cell. The value obtained for the energy relative to the elements, uncorrected is -1.43 eV per atom.

Entry 7:
Below is a relaxed structure of Rb3Hg2RhO6, with properties calculated at the GGA-PBE level.

It has space group C2/m (No. 12), with a = 5.961 Å, b = 11.871 Å, c = 6.272 Å, α = 90.00°, β = 102.22° and γ = 90.00°. The inequivalent atoms are Rb at (0.000, 0.000, 0.000), Rb at (0.000, 0.322, 0.000), Hg at (0.000, 0.145, 0.500), Rh at (0.000, 0.500, 0.500), O at (0.150, 0.500, 0.264) and O at (0.224, 0.370, 0.655).

The calculation puts the energy at -100.181 eV for the cell shown. The theoretical density comes out at 6558 kg/m³. For the total magnetic moment, the calculation gives 4.02 μB/cell. The value obtained for the energy relative to the elements, uncorrected is -0.79 eV per atom.

Entry 8:
Below is a relaxed structure of Rb2HgRhO, with properties calculated at the GGA-PBE level.

It has space group P4/mmm (No. 123), with a = 6.207 Å, b = 6.207 Å, c = 3.802 Å, α = 90.00°, β = 90.00° and γ = 90.00°. The inequivalent atoms are Rb at (0.000, 0.500, 0.000), Hg at (0.000, 0.000, 0.500), Rh at (0.500, 0.500, 0.500) and O at (0.500, 0.500, 0.000).

The calculation puts the energy at -16.827 eV for the cell shown. The theoretical density comes out at 5560 kg/m³. For the total magnetic moment, the calculation gives 0.00 μB/cell. The value obtained for the energy relative to the elements, uncorrected is -0.46 eV per atom.

Entry 9:
Below is a relaxed structure of Rb2HgRuO, with properties calculated at the GGA-PBE level.

It has space group P4/mmm (No. 123), with a = 6.635 Å, b = 6.635 Å, c = 5.161 Å, α = 90.00°, β = 90.00° and γ = 90.00°. The inequivalent atoms are Rb at (0.000, 0.500, 0.000), Hg at (0.000, 0.000, 0.000), Ru at (0.000, 0.000, 0.500) and O at (0.500, 0.500, 0.500).

The calculation puts the energy at -12.070 eV for the cell shown. The theoretical density comes out at 3571 kg/m³. For the total magnetic moment, the calculation gives 3.07 μB/cell. The value obtained for the energy relative to the elements, uncorrected is 0.88 eV per atom.

Entry 10:
Below is a relaxed structure of RbHgRu2O8, with properties calculated at the GGA-PBE level.

It has space group C2/m (No. 12), with a = 10.837 Å, b = 6.031 Å, c = 7.273 Å, α = 90.00°, β = 113.97° and γ = 90.00°. The inequivalent atoms are Rb at (0.000, 0.000, 0.000), Hg at (0.000, 0.500, 0.500), Ru at (0.220, 0.000, 0.690), O at (0.104, 0.500, 0.234), O at (0.149, 0.000, 0.426) and O at (0.158, 0.241, 0.760).

The calculation puts the energy at -138.842 eV for the cell shown. The theoretical density comes out at 4711 kg/m³. For the total magnetic moment, the calculation gives 0.78 μB/cell. The value obtained for the energy relative to the elements, uncorrected is -0.83 eV per atom.

Entry 11:
Below is a relaxed structure of RbHgS2O6, with properties calculated at the GGA-PBE level.

It has space group C2/c (No. 15), with a = 12.748 Å, b = 11.417 Å, c = 5.651 Å, α = 90.00°, β = 90.67° and γ = 90.00°. The inequivalent atoms are Rb at (0.000, 0.174, 0.250), Hg at (0.000, 0.489, 0.750), S at (0.222, 0.083, 0.710), O at (0.117, 0.135, 0.731), O at (0.189, 0.339, 0.244) and O at (0.231, 0.037, 0.316).

The calculation puts the energy at -202.689 eV for the cell shown. The theoretical density comes out at 3603 kg/m³. For the total magnetic moment, the calculation gives 0.00 μB/cell. The value obtained for the energy relative to the elements, uncorrected is -1.14 eV per atom.

Entry 12:
Below is a relaxed structure of Rb2HgSO4, with properties calculated at the GGA-PBE level.

It has space group I-4 (No. 82), with a = 7.362 Å, b = 7.362 Å, c = 7.121 Å, α = 90.00°, β = 90.00° and γ = 90.00°. The inequivalent atoms are Rb at (0.000, 0.000, 0.000), Rb at (0.000, 0.500, 0.250), Hg at (0.000, 0.000, 0.500), S at (0.000, 0.500, 0.750) and O at (0.072, 0.351, 0.873).

The calculation puts the energy at -76.519 eV for the cell shown. The theoretical density comes out at 4023 kg/m³. For the total magnetic moment, the calculation gives 0.32 μB/cell. The value obtained for the energy relative to the elements, uncorrected is -1.51 eV per atom.

Entry 13:
Below is a relaxed structure of RbHgSO4, with properties calculated at the GGA-PBE level.

It has space group Cmcm (No. 63), with a = 5.745 Å, b = 11.435 Å, c = 8.171 Å, α = 90.00°, β = 90.00° and γ = 90.00°. The inequivalent atoms are Rb at (0.000, 0.198, 0.250), Hg at (0.000, 0.500, 0.000), S at (0.000, 0.124, 0.750), O at (0.000, 0.197, 0.601) and O at (0.216, 0.045, 0.750).

The calculation puts the energy at -136.394 eV for the cell shown. The theoretical density comes out at 4728 kg/m³. For the total magnetic moment, the calculation gives 0.00 μB/cell. The value obtained for the energy relative to the elements, uncorrected is -1.27 eV per atom.

Entry 14:
Below is a relaxed structure of Rb2HgSO6, with properties calculated at the GGA-PBE level.

It has space group P-3m1 (No. 164), with a = 6.2389 Å, b = 6.2389 Å, c = 5.7379 Å, α = 90.00°, β = 90.00° and γ = 120.00°. The inequivalent atoms are Rb at (0.3333, 0.6667, 0.1628), Hg at (0.0000, 0.0000, 0.5000), S at (0.0000, 0.0000, 0.0000) and O at (0.1264, 0.2528, 0.8312).

The calculation puts the energy at -44.440 eV for the cell shown. The theoretical density comes out at 4289 kg/m³. For the total magnetic moment, the calculation gives 2.01 μB/cell. The value obtained for the energy relative to the elements, uncorrected is -0.83 eV per atom.

Entry 15:
Below is a relaxed structure of RbHgS2O8, with properties calculated at the GGA-PBE level.

It has space group P-3 (No. 147), with a = 5.0833 Å, b = 5.0833 Å, c = 8.8761 Å, α = 90.00°, β = 90.00° and γ = 120.00°. The inequivalent atoms are Rb at (0.0000, 0.0000, 0.0000), Hg at (0.0000, 0.0000, 0.5000), S at (0.3333, 0.6667, 0.7237), O at (0.0603, 0.3830, 0.6684) and O at (0.3333, 0.6667, 0.8898).

The calculation puts the energy at -63.751 eV for the cell shown. The theoretical density comes out at 3998 kg/m³. For the total magnetic moment, the calculation gives 1.12 μB/cell. The value obtained for the energy relative to the elements, uncorrected is -1.21 eV per atom.

Entry 16:
Below is a relaxed structure of Rb2HgSbO4, with properties calculated at the GGA-PBE level.

It has space group I-4 (No. 82), with a = 6.427 Å, b = 6.427 Å, c = 8.678 Å, α = 90.00°, β = 90.00° and γ = 90.00°. The inequivalent atoms are Rb at (0.000, 0.000, 0.000), Rb at (0.000, 0.500, 0.250), Hg at (0.000, 0.000, 0.500), Sb at (0.000, 0.500, 0.750) and O at (0.155, 0.702, 0.629).

The calculation puts the energy at -71.156 eV for the cell shown. The theoretical density comes out at 5164 kg/m³. For the total magnetic moment, the calculation gives 0.00 μB/cell. The value obtained for the energy relative to the elements, uncorrected is -1.17 eV per atom.

Entry 17:
Below is a relaxed structure of RbScHg2O, with properties calculated at the GGA-PBE level.

It has space group P4/mmm (No. 123), with a = 6.131 Å, b = 6.131 Å, c = 4.382 Å, α = 90.00°, β = 90.00° and γ = 90.00°. The inequivalent atoms are Rb at (0.000, 0.000, 0.000), Sc at (0.500, 0.500, 0.500), Hg at (0.000, 0.500, 0.000) and O at (0.000, 0.000, 0.500).

The calculation puts the energy at -10.329 eV for the cell shown. The theoretical density comes out at 5520 kg/m³. For the total magnetic moment, the calculation gives 1.00 μB/cell. The value obtained for the energy relative to the elements, uncorrected is 0.51 eV per atom.

Entry 18:
Below is a relaxed structure of Rb2HgSe2O6, with properties calculated at the GGA-PBE level.

It has space group C2/m (No. 12), with a = 9.194 Å, b = 6.984 Å, c = 8.504 Å, α = 90.00°, β = 113.82° and γ = 90.00°. The inequivalent atoms are Rb at (0.220, 0.000, 0.207), Hg at (0.000, 0.000, 0.500), Se at (0.116, 0.500, 0.225), O at (0.005, 0.306, 0.225) and O at (0.238, 0.000, 0.552).

The calculation puts the energy at -101.059 eV for the cell shown. The theoretical density comes out at 4158 kg/m³. For the total magnetic moment, the calculation gives 0.00 μB/cell. The value obtained for the energy relative to the elements, uncorrected is -1.05 eV per atom.

Entry 19:
Below is a relaxed structure of RbHg2Se2O6, with properties calculated at the GGA-PBE level.

It has space group P-1 (No. 2), with a = 6.388 Å, b = 6.608 Å, c = 6.651 Å, α = 81.99°, β = 72.96° and γ = 68.21°. The inequivalent atoms are Rb at (0.000, 0.000, 0.000), Hg at (0.222, 0.370, 0.384), Se at (0.353, 0.387, 0.841), O at (0.269, 0.245, 0.074), O at (0.333, 0.213, 0.677) and O at (0.354, 0.675, 0.199).

The calculation puts the energy at -46.437 eV for the cell shown. The theoretical density comes out at 4937 kg/m³. For the total magnetic moment, the calculation gives 0.00 μB/cell. The value obtained for the energy relative to the elements, uncorrected is -0.74 eV per atom.

Entry 20:
Below is a relaxed structure of Rb5HgSeO2, with properties calculated at the GGA-PBE level.

It has space group P4/mmm (No. 123), with a = 5.710 Å, b = 5.710 Å, c = 9.763 Å, α = 90.00°, β = 90.00° and γ = 90.00°. The inequivalent atoms are Rb at (0.000, 0.000, 0.000), Rb at (0.000, 0.500, 0.250), Hg at (0.000, 0.000, 0.500), Se at (0.500, 0.500, 0.000) and O at (0.000, 0.000, 0.288).

The calculation puts the energy at -26.708 eV for the cell shown. The theoretical density comes out at 3855 kg/m³. For the total magnetic moment, the calculation gives 0.68 μB/cell. The value obtained for the energy relative to the elements, uncorrected is -0.91 eV per atom.

Entry 21:
Below is a relaxed structure of RbHgSe2O8, with properties calculated at the GGA-PBE level.

It has space group R-3 (No. 148, hexagonal axes), with a = 5.2359 Å, b = 5.2359 Å, c = 26.8625 Å, α = 90.00°, β = 90.00° and γ = 120.00°. The inequivalent atoms are Rb at (0.0000, 0.0000, 0.0000), Hg at (0.0000, 0.0000, 0.5000), Se at (0.0000, 0.0000, 0.2400), O at (0.0000, 0.0000, 0.3017) and O at (0.0082, 0.6985, 0.7804).

The calculation puts the energy at -168.230 eV for the cell shown. The theoretical density comes out at 4468 kg/m³. For the total magnetic moment, the calculation gives 3.29 μB/cell. The value obtained for the energy relative to the elements, uncorrected is -0.68 eV per atom.

Entry 22:
Below is a relaxed structure of RbSiHgO2, with properties calculated at the GGA-PBE level.

It has space group P4/mmm (No. 123), with a = 4.032 Å, b = 4.032 Å, c = 6.211 Å, α = 90.00°, β = 90.00° and γ = 90.00°. The inequivalent atoms are Rb at (0.000, 0.000, 0.000), Si at (0.000, 0.000, 0.500), Hg at (0.500, 0.500, 0.000) and O at (0.000, 0.500, 0.500).

The calculation puts the energy at -17.498 eV for the cell shown. The theoretical density comes out at 5694 kg/m³. For the total magnetic moment, the calculation gives 0.00 μB/cell. The value obtained for the energy relative to the elements, uncorrected is -0.18 eV per atom.